Entry 1:
Computed, not measured: crystalline LaPm2Tl2Ag2 at its relaxed geometry at the PBE-GGA level of DFT.

Output
* calculated volume: 197.80 Å³/f.u.
* M_tot: 0.00 μB/f.u.
* symmetry: No. 166
* density: 8.8 Mg/m³
* calculated formation energy: -0.2311 eV per atom

a = 9.655 Å, b = 9.655 Å, c = 9.655 Å
α = 29.88°, β = 29.88°, γ = 29.88°
Fractional coordinates of all 7 atoms:
1 La 0.000 0.000 0.000
2 Pm 0.126 0.126 0.126
3 Pm 0.874 0.874 0.874
4 Tl 0.259 0.259 0.259
5 Tl 0.741 0.741 0.741
6 Ag 0.403 0.403 0.403
7 Ag 0.597 0.597 0.597

=====

Entry 2:
Computed, not measured: crystalline LaPmTmAg at its relaxed geometry at the PBE-GGA level of DFT.

Output
* calculated volume: 118.35 Å³/f.u.
* M_tot: 0.00 μB/f.u.
* symmetry: No. 99
* E above lowest polymorph: 0 meV/atom
* density: 7.9 Mg/m³
* calculated formation energy: -0.1224 eV per atom

a = 3.673 Å, b = 3.673 Å, c = 8.772 Å
α = 90.00°, β = 90.00°, γ = 90.00°
Fractional coordinates of all 4 atoms:
1 La 0.000 0.000 0.000
2 Pm 0.500 0.500 0.701
3 Tm 0.500 0.500 0.290
4 Ag 0.000 0.000 0.476

=====

Entry 3:
Computed, not measured: crystalline La2Pm2TmAg5 at its relaxed geometry at the PBE-GGA level of DFT.

Output
* calculated volume: 263.63 Å³/f.u.
* M_tot: 0.00 μB/f.u.
* symmetry: No. 127
* density: 8.0 Mg/m³
* calculated formation energy: -0.1330 eV per atom

a = 11.152 Å, b = 11.152 Å, c = 4.239 Å
α = 90.00°, β = 90.00°, γ = 90.00°
Fractional coordinates of all 20 atoms:
1 La 0.173 0.327 0.000
2 La 0.327 0.827 0.000
3 La 0.673 0.173 0.000
4 La 0.827 0.673 0.000
5 Pm 0.131 0.631 0.000
6 Pm 0.369 0.131 0.000
7 Pm 0.631 0.869 0.000
8 Pm 0.869 0.369 0.000
9 Tm 0.000 0.000 0.000
10 Tm 0.500 0.500 0.000
11 Ag 0.000 0.500 0.500
12 Ag 0.060 0.817 0.500
13 Ag 0.183 0.060 0.500
14 Ag 0.317 0.560 0.500
15 Ag 0.440 0.317 0.500
16 Ag 0.500 0.000 0.500
17 Ag 0.560 0.683 0.500
18 Ag 0.683 0.440 0.500
19 Ag 0.817 0.940 0.500
20 Ag 0.940 0.183 0.500

=====

Entry 4:
Computed, not measured: crystalline LaPmTmAg at its relaxed geometry at the PBE-GGA level of DFT.

Output
* calculated volume: 114.67 Å³/f.u.
* M_tot: 2.21 μB/f.u.
* symmetry: No. 216
* E above lowest polymorph: 221 meV/atom
* density: 8.1 Mg/m³
* calculated formation energy: 0.0986 eV per atom

a = 7.712 Å, b = 7.712 Å, c = 7.712 Å
α = 90.00°, β = 90.00°, γ = 90.00°
Fractional coordinates of all 16 atoms:
1 La 0.000 0.000 0.000
2 La 0.000 0.500 0.500
3 La 0.500 0.000 0.500
4 La 0.500 0.500 0.000
5 Pm 0.250 0.250 0.250
6 Pm 0.250 0.750 0.750
7 Pm 0.750 0.250 0.750
8 Pm 0.750 0.750 0.250
9 Tm 0.000 0.000 0.500
10 Tm 0.000 0.500 0.000
11 Tm 0.500 0.000 0.000
12 Tm 0.500 0.500 0.500
13 Ag 0.250 0.250 0.750
14 Ag 0.250 0.750 0.250
15 Ag 0.750 0.250 0.250
16 Ag 0.750 0.750 0.750

=====

Entry 5:
Computed, not measured: crystalline LaPmYAg at its relaxed geometry at the PBE-GGA level of DFT.

Output
* calculated volume: 120.42 Å³/f.u.
* M_tot: 0.00 μB/f.u.
* symmetry: No. 99
* E above lowest polymorph: 0 meV/atom
* density: 6.6 Mg/m³
* calculated formation energy: -0.1220 eV per atom

a = 3.705 Å, b = 3.705 Å, c = 8.772 Å
α = 90.00°, β = 90.00°, γ = 90.00°
Fractional coordinates of all 4 atoms:
1 La 0.000 0.000 0.000
2 Pm 0.500 0.500 0.706
3 Y 0.500 0.500 0.293
4 Ag 0.000 0.000 0.489

=====

Entry 6:
Computed, not measured: crystalline La2Pm2YAg5 at its relaxed geometry at the PBE-GGA level of DFT.

Output
* calculated volume: 266.12 Å³/f.u.
* M_tot: 0.00 μB/f.u.
* symmetry: No. 127
* density: 7.5 Mg/m³
* calculated formation energy: -0.1321 eV per atom

a = 11.134 Å, b = 11.134 Å, c = 4.293 Å
α = 90.00°, β = 90.00°, γ = 90.00°
Fractional coordinates of all 20 atoms:
1 La 0.173 0.327 0.000
2 La 0.327 0.827 0.000
3 La 0.673 0.173 0.000
4 La 0.827 0.673 0.000
5 Pm 0.129 0.629 0.000
6 Pm 0.371 0.129 0.000
7 Pm 0.629 0.871 0.000
8 Pm 0.871 0.371 0.000
9 Y 0.000 0.000 0.000
10 Y 0.500 0.500 0.000
11 Ag 0.000 0.500 0.500
12 Ag 0.061 0.815 0.500
13 Ag 0.185 0.061 0.500
14 Ag 0.315 0.561 0.500
15 Ag 0.439 0.315 0.500
16 Ag 0.500 0.000 0.500
17 Ag 0.561 0.685 0.500
18 Ag 0.685 0.439 0.500
19 Ag 0.815 0.939 0.500
20 Ag 0.939 0.185 0.500

=====

Entry 7:
Computed, not measured: crystalline LaPmYAg at its relaxed geometry at the PBE-GGA level of DFT.

Output
* calculated volume: 117.15 Å³/f.u.
* M_tot: 2.08 μB/f.u.
* symmetry: No. 216
* E above lowest polymorph: 211 meV/atom
* density: 6.8 Mg/m³
* calculated formation energy: 0.0889 eV per atom

a = 7.767 Å, b = 7.767 Å, c = 7.767 Å
α = 90.00°, β = 90.00°, γ = 90.00°
Fractional coordinates of all 16 atoms:
1 La 0.000 0.000 0.000
2 La 0.000 0.500 0.500
3 La 0.500 0.000 0.500
4 La 0.500 0.500 0.000
5 Pm 0.250 0.250 0.250
6 Pm 0.250 0.750 0.750
7 Pm 0.750 0.250 0.750
8 Pm 0.750 0.750 0.250
9 Y 0.000 0.000 0.500
10 Y 0.000 0.500 0.000
11 Y 0.500 0.000 0.000
12 Y 0.500 0.500 0.500
13 Ag 0.250 0.250 0.750
14 Ag 0.250 0.750 0.250
15 Ag 0.750 0.250 0.250
16 Ag 0.750 0.750 0.750

=====

Entry 8:
Computed, not measured: crystalline LaPmZnAg at its relaxed geometry at the PBE-GGA level of DFT.

Output
* calculated volume: 104.85 Å³/f.u.
* M_tot: 0.00 μB/f.u.
* symmetry: No. 99
* E above lowest polymorph: 0 meV/atom
* density: 7.2 Mg/m³
* calculated formation energy: -0.2932 eV per atom

a = 3.772 Å, b = 3.772 Å, c = 7.370 Å
α = 90.00°, β = 90.00°, γ = 90.00°
Fractional coordinates of all 4 atoms:
1 La 0.000 0.000 0.000
2 Pm 0.000 0.000 0.516
3 Zn 0.500 0.500 0.746
4 Ag 0.500 0.500 0.273

=====

Q: What is the formula in the second record?
A: LaPmTmAg